# 1
This record from Alexandria describes In2SnBr2Cl2 after structural relaxation. The functional is PBE.

Calculated values
The uncorrected energy is -3.1464 eV/atom. The calculation puts the formation energy from raw total energies at -0.79 eV per atom.

Unit cell a=4.2504 b=7.9548 c=8.1108 alpha=66.48 beta=74.83 gamma=89.99
Closest atoms and distances in Å follow each position.
Atoms (fractional coordinates):
1 In 0.1361 0.5816 0.7286  3 Br 3.12-3.26
2 In 0.8639 0.4184 0.2714  3 Br 3.12-3.26
3 Sn 0.0000 0.0000 0.0000  4 Cl 2.88, 2 Br 3.00
4 Br 0.2054 0.2481 0.5889  1 Sn 3.00, 3 In 3.12-3.26
5 Br 0.7946 0.7519 0.4111  1 Sn 3.00, 3 In 3.12-3.26
6 Cl 0.4797 0.2261 0.0403  2 Sn 2.88
7 Cl 0.5203 0.7739 0.9597  2 Sn 2.88

# 2
This record from Alexandria describes LaMn2V2 after structural relaxation. The functional is PBE.

Calculated values
The uncorrected energy is -8.0207 eV/atom. For the formation energy, the calculation gives 0.280 eV per atom.

Unit cell a=3.9670 b=3.9670 c=6.1619 alpha=71.22 beta=71.22 gamma=90.00
Closest atoms and distances in Å follow each position.
Atoms (fractional coordinates):
1 Mn 0.7500 0.2500 0.5000  4 V 2.32
2 Mn 0.2500 0.7500 0.5000  4 V 2.32
3 La 0.0000 0.0000 0.0000  8 V 3.20, 8 Mn 3.39
4 V 0.3596 0.3596 0.2807  4 Mn 2.32
5 V 0.6404 0.6404 0.7193  4 Mn 2.32

# 3
This record from Alexandria describes CaAlMo2 after structural relaxation. The functional is PBE.

Calculated values
The uncorrected energy is -6.4948 eV/atom. For the formation energy, the calculation gives 0.357 eV per atom.

Unit cell a=2.7769 b=2.7769 c=9.3237 alpha=90.00 beta=90.00 gamma=90.00
Closest atoms and distances in Å follow each position.
Atoms (fractional coordinates):
1 Mo 0.0000 0.0000 0.0357  4 Mo 2.78, 4 Al 2.80
2 Mo 0.0000 0.0000 0.4643  4 Mo 2.78, 4 Al 2.80
3 Ca 0.5000 0.5000 0.7500  4 Ca 2.78
4 Al 0.5000 0.5000 0.2500  4 Al 2.78, 8 Mo 2.80